BeReSi (GGA-PBE, optimized geometry); space-group type = F-43m; excess energy over the best structure of this formula in the dataset = 627 meV per atom; raw formation energy = 41 kJ/mol of atoms
1.0
-2.270 1.983 2.570
-2.620 -1.949 2.242
0.620 -0.380 3.894
Re Si Be
1 1 1
Direct
0.750 0.750 0.750
0.000 0.000 0.000
0.500 0.500 0.500

***

InCoGe (GGA-PBE, optimized geometry); space-group type = F-43m; ΔH_f (0 K) = 0.047 eV per atom
1.0
4.204 0.000 0.000
2.102 3.641 0.000
2.102 1.214 3.433
Ge Co In
1 1 1
Direct
0.000 0.000 0.000
0.250 0.250 0.250
0.500 0.500 0.500

***

K2As2Pb (GGA-PBE, optimized geometry); space-group type = P4/mbm; ΔH_f (0 K) = -0.322 eV per atom; excess energy over the best structure of this formula in the dataset = 0 meV per atom
1.0
-1.069 -5.104 5.669
6.170 -3.945 -2.389
3.083 2.892 3.185
Pb As K
2 4 4
Direct
0.000 0.000 0.000
0.500 0.500 0.000
0.388 0.888 0.000
0.888 0.612 0.000
0.612 0.112 0.000
0.112 0.388 0.000
0.178 0.678 0.500
0.678 0.822 0.500
0.822 0.322 0.500
0.322 0.178 0.500

***

Sm8Sn2Te3 (GGA-PBE, optimized geometry); space-group type = C2/m; raw formation energy = -64 kJ/mol of atoms
1.0
7.023 0.000 0.819
0.000 8.497 0.000
-1.994 -4.248 7.202
Sm Sn Te
8 2 3
Direct
0.861 0.589 0.178
0.139 0.411 0.822
0.867 0.157 0.314
0.133 0.843 0.686
0.618 0.598 0.762
0.618 0.164 0.762
0.382 0.836 0.238
0.382 0.402 0.238
0.335 0.245 0.491
0.665 0.755 0.509
0.500 0.000 0.000
0.000 0.206 0.000
0.000 0.794 0.000

***

GdHgBi2 (GGA-PBE, optimized geometry); space-group type = P4/mmm; ΔH_f (0 K) = -0.405 eV per atom; excess energy over the best structure of this formula in the dataset = 25 meV per atom
1.0
4.276 0.000 0.000
0.000 4.276 0.000
0.000 0.000 6.613
Gd Bi Hg
1 2 1
Direct
0.500 0.500 0.000
0.000 0.000 0.769
0.000 0.000 0.231
0.500 0.500 0.500

***

KLiCu (GGA-PBE, optimized geometry); space-group type = I4mm; ΔH_f (0 K) = 0.268 eV per atom; excess energy over the best structure of this formula in the dataset = 0 meV per atom
1.0
-5.151 1.577 3.737
-6.072 -1.469 1.996
0.381 -1.876 3.080
Cu K Li
1 1 1
Direct
0.948 0.948 0.052
0.658 0.658 0.342
0.394 0.394 0.606

***

NdSmTm4S8 (GGA-PBE, optimized geometry); space-group type = R3m; raw formation energy = -185 kJ/mol of atoms
1.0
-7.745 -2.007 0.461
-2.108 -7.243 2.706
-3.534 -0.701 7.238
Nd Sm Tm S
1 1 4 8
Direct
0.373 0.373 0.880
0.999 0.999 0.002
0.626 0.626 0.122
0.000 0.502 0.499
0.502 0.000 0.499
0.000 0.000 0.499
0.245 0.783 0.728
0.783 0.245 0.728
0.245 0.245 0.728
0.237 0.237 0.290
0.750 0.233 0.267
0.233 0.750 0.267
0.750 0.750 0.267
0.758 0.758 0.726

***

Ba4Au5 (GGA-PBE, optimized geometry); space-group type = I4/mmm; ΔH_f (0 K) = -0.577 eV per atom; excess energy over the best structure of this formula in the dataset = 32 meV per atom
1.0
7.735 4.089 0.410
-4.805 -7.050 1.983
0.823 -2.121 -8.458
Ba Au
4 5
Direct
0.262 0.000 0.262
0.738 0.000 0.738
0.000 0.738 0.738
0.000 0.262 0.262
0.000 0.000 0.000
0.296 0.704 0.000
0.704 0.296 0.000
0.704 0.704 0.408
0.296 0.296 0.592

***

La3Sn5S12 (GGA-PBE, optimized geometry); space-group type = Ia-3d; raw formation energy = -97 kJ/mol of atoms
1.0
-9.204 -9.804 4.242
10.711 0.663 9.147
-6.434 12.532 -0.620
La Sn S
12 20 48
Direct
0.750 0.375 0.125
0.875 0.750 0.125
0.375 0.750 0.625
0.250 0.125 0.375
0.875 0.125 0.250
0.375 0.625 0.250
0.625 0.375 0.750
0.125 0.875 0.750
0.750 0.875 0.625
0.625 0.250 0.375
0.125 0.250 0.875
0.250 0.625 0.875
0.125 0.375 0.250
0.000 0.500 0.000
0.000 0.000 0.000
0.375 0.250 0.125
0.500 0.000 0.500
0.500 0.500 0.000
0.125 0.750 0.375
0.750 0.125 0.875
0.750 0.625 0.375
0.375 0.125 0.750
0.625 0.875 0.250
0.500 0.500 0.500
0.500 0.000 0.000
0.000 0.000 0.500
0.250 0.375 0.625
0.250 0.875 0.125
0.000 0.500 0.500
0.875 0.250 0.625
0.625 0.750 0.875
0.875 0.625 0.750
0.723 0.134 0.041
0.318 0.541 0.408
0.959 0.366 0.277
0.541 0.223 0.134
0.589 0.723 0.682
0.959 0.592 0.182
0.318 0.777 0.411
0.092 0.911 0.134
0.592 0.959 0.682
0.723 0.589 0.182
0.777 0.459 0.366
0.818 0.908 0.041
0.134 0.723 0.541
0.366 0.408 0.089
0.089 0.908 0.366
0.411 0.134 0.592
0.089 0.182 0.223
0.459 0.682 0.092
0.818 0.911 0.277
0.134 0.411 0.092
0.366 0.959 0.777
0.592 0.634 0.411
0.908 0.818 0.541
0.777 0.318 0.911
0.408 0.366 0.589
0.092 0.182 0.459
0.223 0.682 0.089
0.182 0.089 0.723
0.634 0.041 0.223
0.866 0.589 0.908
0.541 0.318 0.908
0.589 0.866 0.408
0.911 0.818 0.777
0.911 0.092 0.634
0.866 0.277 0.459
0.182 0.092 0.959
0.634 0.592 0.911
0.408 0.041 0.318
0.277 0.411 0.818
0.223 0.541 0.634
0.908 0.089 0.866
0.682 0.223 0.589
0.459 0.777 0.866
0.041 0.408 0.818
0.411 0.277 0.318
0.041 0.634 0.723
0.682 0.459 0.592
0.277 0.866 0.959

***

ScCdTe2N (GGA-PBE, optimized geometry); space-group type = P4/mmm; excess energy over the best structure of this formula in the dataset = 0 meV per atom; raw formation energy = 7 kJ/mol of atoms
1.0
5.814 0.000 0.000
0.000 5.814 0.000
0.000 0.000 3.913
Sc N Te Cd
1 1 2 1
Direct
0.000 0.000 0.000
0.000 0.000 0.500
0.000 0.500 0.000
0.500 0.000 0.000
0.500 0.500 0.500

***

K2BeP (GGA-PBE, optimized geometry); space-group type = F-43m; ΔH_f (0 K) = 0.532 eV per atom; excess energy over the best structure of this formula in the dataset = 775 meV per atom
1.0
-1.057 4.692 2.013
-3.643 3.017 -2.193
-4.525 0.824 2.455
P K Be
1 2 1
Direct
0.750 0.750 0.750
0.000 0.000 0.000
0.250 0.250 0.250
0.500 0.500 0.500

***

NaEuHgAs (GGA-PBE, optimized geometry); space-group type = F-43m; ΔH_f (0 K) = -0.659 eV per atom
1.0
5.246 0.000 0.000
2.623 4.543 0.000
2.623 1.514 4.283
Eu Na As Hg
1 1 1 1
Direct
0.750 0.750 0.750
0.250 0.250 0.250
0.000 0.000 0.000
0.500 0.500 0.500

***

Pm5SbPt2 (GGA-PBE, optimized geometry); space-group type = I4/mcm; raw formation energy = -89 kJ/mol of atoms
1.0
7.270 0.000 -3.432
-1.620 7.087 -3.432
-0.240 -0.301 8.907
Pm Sb Pt
10 2 4
Direct
0.519 0.703 0.722
0.797 0.981 0.278
0.000 0.000 0.000
0.500 0.500 0.000
0.203 0.019 0.722
0.703 0.203 0.722
0.019 0.519 0.722
0.297 0.797 0.278
0.981 0.481 0.278
0.481 0.297 0.278
0.750 0.750 0.500
0.250 0.250 0.500
0.136 0.364 0.000
0.636 0.136 0.000
0.364 0.864 0.000
0.864 0.636 0.000

***

SmAl5Ag7 (GGA-PBE, optimized geometry); space-group type = Imm2; ΔH_f (0 K) = -0.206 eV per atom
1.0
5.427 0.000 0.000
2.713 6.578 -0.028
2.713 -0.050 6.578
Sm Al Ag
1 5 7
Direct
0.000 0.000 0.000
0.500 0.002 0.494
0.004 0.002 0.494
0.500 0.494 0.002
0.004 0.494 0.002
0.724 0.776 0.776
0.653 0.347 0.347
0.336 0.664 0.664
0.995 0.350 0.661
0.995 0.661 0.350
0.278 0.222 0.222
0.506 0.787 0.201
0.506 0.201 0.787

***

BaPr3Te4 (GGA-PBE, optimized geometry); space-group type = Cmmm; raw formation energy = -144 kJ/mol of atoms
1.0
4.585 -0.057 0.078
0.060 7.737 2.212
-0.130 0.403 8.036
Pr Te Ba
3 4 1
Direct
0.500 0.000 0.500
0.000 0.000 0.000
0.000 0.500 0.500
0.000 0.764 0.736
0.500 0.757 0.256
0.000 0.236 0.264
0.500 0.244 0.744
0.500 0.500 0.000

***

CaPr5Bi6 (GGA-PBE, optimized geometry); space-group type = C2/m; ΔH_f (0 K) = -0.904 eV per atom
1.0
8.033 0.221 0.000
2.474 7.649 0.000
1.237 3.825 6.969
Ca Pr Bi
1 5 6
Direct
0.000 0.000 0.000
0.500 0.167 0.667
0.000 0.333 0.334
0.500 0.500 0.000
0.000 0.667 0.666
0.500 0.833 0.333
0.751 0.083 0.334
0.249 0.583 0.334
0.250 0.250 0.000
0.750 0.750 0.000
0.751 0.417 0.666
0.249 0.917 0.666

***

BaMn2Rh (GGA-PBE, optimized geometry); space-group type = P2/m; ΔH_f (0 K) = 0.360 eV per atom
1.0
-1.204 3.012 0.015
-1.207 -0.497 2.988
5.729 2.260 6.235
Ba Mn Rh
1 2 1
Direct
0.500 0.750 0.750
0.000 0.919 0.080
0.000 0.581 0.420
0.500 0.250 0.250

***

Dy4HoEr (GGA-PBE, optimized geometry); space-group type = P-1; ΔH_f (0 K) = 0.020 eV per atom; excess energy over the best structure of this formula in the dataset = 0 meV per atom
1.0
-1.358 2.941 1.371
-7.651 -5.291 -0.696
10.207 2.199 5.314
Dy Ho Er
4 1 1
Direct
0.834 0.667 0.500
0.166 0.333 0.500
0.333 0.666 0.000
0.667 0.334 0.000
0.000 0.000 0.000
0.500 0.000 0.500

***

Ba2CaEu (GGA-PBE, optimized geometry); space-group type = P4/mmm; ΔH_f (0 K) = 0.045 eV per atom
1.0
4.667 0.000 0.000
0.000 6.726 0.000
0.000 0.000 6.726
Eu Ca Ba
1 1 2
Direct
0.500 0.500 0.500
0.500 0.000 0.000
0.000 0.000 0.500
0.000 0.500 0.000

***

Ba2AgP (GGA-PBE, optimized geometry); space-group type = Amm2; ΔH_f (0 K) = -0.612 eV per atom
1.0
-2.801 -4.759 3.476
1.675 -4.489 4.429
-0.926 3.085 3.475
Ag Ba P
1 2 1
Direct
0.306 0.306 0.125
0.008 0.008 0.125
0.737 0.737 0.625
0.448 0.448 0.625